[1]
This record from Alexandria describes a geometry-optimized PuTl5 structure. The functional is PBE.

CIF file:
```
data_PuTl5
_chemical_formula_sum 'Pu2 Tl10'
_space_group_name_H-M_alt 'C m m m'
_space_group_IT_number 65
_space_group_name_Hall '-C 2 2'
_cell_length_a 4.816
_cell_length_b 14.543
_cell_length_c 4.912
_cell_angle_alpha 90.00
_cell_angle_beta 90.00
_cell_angle_gamma 90.00
loop_
_atom_site_label
_atom_site_type_symbol
_atom_site_fract_x
_atom_site_fract_y
_atom_site_fract_z
Pu1 Pu 0.000 0.000 0.000
Tl1 Tl 0.000 0.166 0.500
Tl2 Tl 0.000 0.329 0.000
Tl3 Tl 0.000 0.500 0.500
```

- DOS(E_F) (states/eV/cell) = 29.61
- formation energy (eV per atom) = 0.029


[2]
This record from Alexandria describes a geometry-optimized MgAsPt2 structure. The functional is PBE.

CIF file:
```
data_MgAsPt2
_chemical_formula_sum 'Mg4 As4 Pt8'
_space_group_name_H-M_alt 'I -4 2 d'
_space_group_IT_number 122
_space_group_name_Hall 'I -4 2bw'
_cell_length_a 4.058
_cell_length_b 4.058
_cell_length_c 17.180
_cell_angle_alpha 90.00
_cell_angle_beta 90.00
_cell_angle_gamma 90.00
loop_
_atom_site_label
_atom_site_type_symbol
_atom_site_fract_x
_atom_site_fract_y
_atom_site_fract_z
Mg1 Mg 0.000 0.000 0.000
As1 As 0.000 0.000 0.500
Pt1 Pt 0.233 0.250 0.625
```

- DOS(E_F) (states/eV/cell) = 11.40
- formation energy (eV per atom) = -0.359


[3]
This record from Alexandria describes a geometry-optimized B2C structure. The functional is PBE.

CIF file:
```
data_B2C
_chemical_formula_sum 'B16 C8'
_space_group_name_H-M_alt 'C 1 2/m 1'
_space_group_IT_number 12
_cell_length_a 12.449
_cell_length_b 2.766
_cell_length_c 4.947
_cell_angle_alpha 90.00
_cell_angle_beta 99.56
_cell_angle_gamma 90.00
loop_
_space_group_symop_operation_xyz
'x,y,z'
'-x,-y,-z'
'-x,y,-z'
'x,-y,z'
'x+1/2,y+1/2,z'
'-x+1/2,-y+1/2,-z'
'-x+1/2,y+1/2,-z'
'x+1/2,-y+1/2,z'
loop_
_atom_site_label
_atom_site_type_symbol
_atom_site_fract_x
_atom_site_fract_y
_atom_site_fract_z
B1 B 0.038 0.000 0.262
B2 B 0.147 0.500 0.873
B3 B 0.196 0.500 0.553
B4 B 0.219 0.000 0.079
C1 C 0.019 0.500 0.836
C2 C 0.162 0.000 0.392
```

- energy above the most stable polymorph in this dataset (meV/atom) = 78.2
- DOS(E_F) (states/eV/cell) = 1.61
- formation energy (eV per atom) = 0.264